# TbHfHgPd | Alexandria | PBE | optimized geometry
data_TbHfHgPd
_chemical_formula_sum 'Tb4 Hf4 Hg4 Pd4'
_symmetry_space_group_name_H-M 'F -4 3 m'
_symmetry_Int_Tables_number 216
_symmetry_space_group_name_Hall 'F -4 2 3'
_cell_length_a 7.0349
_cell_length_b 7.0349
_cell_length_c 7.0349
_cell_angle_alpha 90.00
_cell_angle_beta 90.00
_cell_angle_gamma 90.00
loop_
_atom_site_label
_atom_site_fract_x
_atom_site_fract_y
_atom_site_fract_z
Tb1 0.0000 0.0000 0.0000
Hf1 0.0000 0.0000 0.5000
Hg1 0.2500 0.2500 0.7500
Pd1 0.2500 0.2500 0.2500
# Size of the total moment ... 0.0 μB/f.u.
# ΔE_f ... -0.363 eV/atom

# HfTcHg2Pd | Alexandria | PBE | optimized geometry
data_HfTcHg2Pd
_chemical_formula_sum 'Hf1 Tc1 Hg2 Pd1'
_symmetry_space_group_name_H-M 'P 4/m m m'
_symmetry_Int_Tables_number 123
_symmetry_space_group_name_Hall '-P 4 2'
_cell_length_a 5.3994
_cell_length_b 5.3994
_cell_length_c 4.8397
_cell_angle_alpha 90.00
_cell_angle_beta 90.00
_cell_angle_gamma 90.00
loop_
_atom_site_label
_atom_site_fract_x
_atom_site_fract_y
_atom_site_fract_z
Hf1 0.0000 0.0000 0.0000
Tc1 0.5000 0.5000 0.5000
Hg1 0.0000 0.5000 0.0000
Pd1 0.0000 0.0000 0.5000
# Size of the total moment ... 3.7 μB/f.u.
# ΔE_f ... 1.370 eV/atom

# TmHfHgPd | Alexandria | PBE | optimized geometry
data_TmHfHgPd
_chemical_formula_sum 'Tm4 Hf4 Hg4 Pd4'
_symmetry_space_group_name_H-M 'F -4 3 m'
_symmetry_Int_Tables_number 216
_symmetry_space_group_name_Hall 'F -4 2 3'
_cell_length_a 6.9751
_cell_length_b 6.9751
_cell_length_c 6.9751
_cell_angle_alpha 90.00
_cell_angle_beta 90.00
_cell_angle_gamma 90.00
loop_
_atom_site_label
_atom_site_fract_x
_atom_site_fract_y
_atom_site_fract_z
Tm1 0.0000 0.0000 0.0000
Hf1 0.0000 0.0000 0.5000
Hg1 0.2500 0.2500 0.2500
Pd1 0.2500 0.2500 0.7500
# Size of the total moment ... 0.0 μB/f.u.
# ΔE_f ... -0.403 eV/atom

# YHf2HgPd | Alexandria | PBE | optimized geometry
data_YHf2HgPd
_chemical_formula_sum 'Y1 Hf2 Hg1 Pd1'
_symmetry_space_group_name_H-M 'P 4/m m m'
_symmetry_Int_Tables_number 123
_symmetry_space_group_name_Hall '-P 4 2'
_cell_length_a 5.1555
_cell_length_b 5.1555
_cell_length_c 5.3615
_cell_angle_alpha 90.00
_cell_angle_beta 90.00
_cell_angle_gamma 90.00
loop_
_atom_site_label
_atom_site_fract_x
_atom_site_fract_y
_atom_site_fract_z
Y1 0.0000 0.0000 0.0000
Hf1 0.0000 0.5000 0.0000
Hg1 0.0000 0.0000 0.5000
Pd1 0.5000 0.5000 0.5000
# Size of the total moment ... 0.0 μB/f.u.
# ΔE_f ... 1.556 eV/atom

# Y2HfHgPd | Alexandria | PBE | optimized geometry
data_Y2HfHgPd
_chemical_formula_sum 'Y2 Hf1 Hg1 Pd1'
_symmetry_space_group_name_H-M 'P 4/m m m'
_symmetry_Int_Tables_number 123
_symmetry_space_group_name_Hall '-P 4 2'
_cell_length_a 5.5184
_cell_length_b 5.5184
_cell_length_c 5.2228
_cell_angle_alpha 90.00
_cell_angle_beta 90.00
_cell_angle_gamma 90.00
loop_
_atom_site_label
_atom_site_fract_x
_atom_site_fract_y
_atom_site_fract_z
Y1 0.0000 0.5000 0.0000
Hf1 0.0000 0.0000 0.5000
Hg1 0.0000 0.0000 0.0000
Pd1 0.5000 0.5000 0.5000
# Size of the total moment ... 0.0 μB/f.u.
# ΔE_f ... 0.667 eV/atom

# HfZrHgPd | Alexandria | PBE | optimized geometry
data_HfZrHgPd
_chemical_formula_sum 'Hf1 Zr1 Hg1 Pd1'
_symmetry_space_group_name_H-M 'P 4 m m'
_symmetry_Int_Tables_number 99
_cell_length_a 3.4348
_cell_length_b 3.4348
_cell_length_c 6.8148
_cell_angle_alpha 90.00
_cell_angle_beta 90.00
_cell_angle_gamma 90.00
loop_
_symmetry_equiv_pos_as_xyz
'x,y,z'
'-y,x,z'
'-x,-y,z'
'y,-x,z'
'-x,y,z'
'y,x,z'
'x,-y,z'
'-y,-x,z'
loop_
_atom_site_label
_atom_site_fract_x
_atom_site_fract_y
_atom_site_fract_z
Hf1 0.0000 0.0000 0.0000
Zr1 0.5000 0.5000 0.7130
Hg1 0.0000 0.0000 0.4532
Pd1 0.5000 0.5000 0.2064
# Size of the total moment ... 0.0 μB/f.u.
# ΔE_f ... -0.416 eV/atom

# PmHfHg2 | Alexandria | PBE | optimized geometry
data_PmHfHg2
_chemical_formula_sum 'Pm4 Hf4 Hg8'
_symmetry_space_group_name_H-M 'F m -3 m'
_symmetry_Int_Tables_number 225
_symmetry_space_group_name_Hall '-F 4 2 3'
_cell_length_a 7.3129
_cell_length_b 7.3129
_cell_length_c 7.3129
_cell_angle_alpha 90.00
_cell_angle_beta 90.00
_cell_angle_gamma 90.00
loop_
_atom_site_label
_atom_site_fract_x
_atom_site_fract_y
_atom_site_fract_z
Pm1 0.0000 0.0000 0.0000
Hf1 0.0000 0.0000 0.5000
Hg1 0.2500 0.2500 0.2500
# Size of the total moment ... 1.1 μB/f.u.
# ΔE_f ... -0.136 eV/atom

# PmHfHg2 | Alexandria | PBE | optimized geometry
data_PmHfHg2
_chemical_formula_sum 'Pm1 Hf1 Hg2'
_symmetry_space_group_name_H-M 'P 4/m m m'
_symmetry_Int_Tables_number 123
_symmetry_space_group_name_Hall '-P 4 2'
_cell_length_a 3.5877
_cell_length_b 3.5877
_cell_length_c 7.5237
_cell_angle_alpha 90.00
_cell_angle_beta 90.00
_cell_angle_gamma 90.00
loop_
_atom_site_label
_atom_site_fract_x
_atom_site_fract_y
_atom_site_fract_z
Pm1 0.0000 0.0000 0.0000
Hf1 0.0000 0.0000 0.5000
Hg1 0.5000 0.5000 0.2797
# Size of the total moment ... 0.8 μB/f.u.
# ΔE_f ... -0.194 eV/atom

# PmHfTlHg | Alexandria | PBE | optimized geometry
data_PmHfTlHg
_chemical_formula_sum 'Pm4 Hf4 Tl4 Hg4'
_symmetry_space_group_name_H-M 'F -4 3 m'
_symmetry_Int_Tables_number 216
_symmetry_space_group_name_Hall 'F -4 2 3'
_cell_length_a 7.3724
_cell_length_b 7.3724
_cell_length_c 7.3724
_cell_angle_alpha 90.00
_cell_angle_beta 90.00
_cell_angle_gamma 90.00
loop_
_atom_site_label
_atom_site_fract_x
_atom_site_fract_y
_atom_site_fract_z
Pm1 0.0000 0.0000 0.0000
Hf1 0.0000 0.0000 0.5000
Tl1 0.2500 0.2500 0.7500
Hg1 0.2500 0.2500 0.2500
# Size of the total moment ... 0.0 μB/f.u.
# ΔE_f ... -0.096 eV/atom

# PmHfZnHg | Alexandria | PBE | optimized geometry
data_PmHfZnHg
_chemical_formula_sum 'Pm4 Hf4 Zn4 Hg4'
_symmetry_space_group_name_H-M 'F -4 3 m'
_symmetry_Int_Tables_number 216
_symmetry_space_group_name_Hall 'F -4 2 3'
_cell_length_a 7.1632
_cell_length_b 7.1632
_cell_length_c 7.1632
_cell_angle_alpha 90.00
_cell_angle_beta 90.00
_cell_angle_gamma 90.00
loop_
_atom_site_label
_atom_site_fract_x
_atom_site_fract_y
_atom_site_fract_z
Pm1 0.0000 0.0000 0.0000
Hf1 0.0000 0.0000 0.5000
Zn1 0.2500 0.2500 0.7500
Hg1 0.2500 0.2500 0.2500
# Size of the total moment ... 0.9 μB/f.u.
# ΔE_f ... -0.105 eV/atom

# PrHfHg | Alexandria | PBE | optimized geometry
data_PrHfHg
_chemical_formula_sum 'Pr4 Hf4 Hg4'
_symmetry_space_group_name_H-M 'P -3 m 1'
_symmetry_Int_Tables_number 164
_symmetry_space_group_name_Hall '-P 3 2"'
_cell_length_a 3.3809
_cell_length_b 3.3809
_cell_length_c 32.4280
_cell_angle_alpha 90.00
_cell_angle_beta 90.00
_cell_angle_gamma 120.00
loop_
_atom_site_label
_atom_site_fract_x
_atom_site_fract_y
_atom_site_fract_z
Pr1 0.3333 0.6667 0.2692
Pr2 0.3333 0.6667 0.3794
Hf1 0.3333 0.6667 0.1113
Hf2 0.3333 0.6667 0.9610
Hg1 0.3333 0.6667 0.5389
Hg2 0.3333 0.6667 0.8146
# Size of the total moment ... 0.0 μB/f.u.
# ΔE_f ... 0.025 eV/atom

# PrHfHg2 | Alexandria | PBE | optimized geometry
data_PrHfHg2
_chemical_formula_sum 'Pr1 Hf1 Hg2'
_symmetry_space_group_name_H-M 'P 4/m m m'
_symmetry_Int_Tables_number 123
_symmetry_space_group_name_Hall '-P 4 2'
_cell_length_a 3.5899
_cell_length_b 3.5899
_cell_length_c 7.6614
_cell_angle_alpha 90.00
_cell_angle_beta 90.00
_cell_angle_gamma 90.00
loop_
_atom_site_label
_atom_site_fract_x
_atom_site_fract_y
_atom_site_fract_z
Pr1 0.0000 0.0000 0.0000
Hf1 0.0000 0.0000 0.5000
Hg1 0.5000 0.5000 0.2846
# Size of the total moment ... 0.7 μB/f.u.
# ΔE_f ... -0.186 eV/atom